# 1
A relaxed structure of BiMo3As. Source: Alexandria via LeMat-Bulk, functional PBE.

a b c (Å): 5.0404 5.0404 5.0404
angles (deg): 90.00 90.00 90.00
Closest atoms and distances in Å follow each position.
Sites, in units of the cell vectors:
Bi (0.0000, 0.0000, 0.0000)  6 Mo 2.52
Mo (0.0000, 0.0000, 0.5000)  2 Bi 2.52
Mo (0.0000, 0.5000, 0.0000)  2 Bi 2.52
Mo (0.5000, 0.0000, 0.0000)  2 Bi 2.52
As (0.5000, 0.5000, 0.5000)  12 Mo 3.56

Calculated values
formation energy	244	kJ/mol of atoms
energy	-5.672	eV/atom
excess energy over the best structure of this formula in the dataset	1472.2	meV per atom
symmetry	Pm-3m, No. 221

---

# 2
A relaxed structure of AgP2Ir. Source: Alexandria via LeMat-Bulk, functional PBE.

a b c (Å): 2.7526 4.9356 9.4131
angles (deg): 90.00 90.00 90.00
Closest atoms and distances in Å follow each position.
Sites, in units of the cell vectors:
Ag (0.0000, 0.0000, 0.0000)  6 Ag 2.75-2.83, 4 P 2.97
Ag (0.5000, 0.5000, 0.0000)  6 Ag 2.75-2.83, 4 P 2.97
P (0.0000, 0.5000, 0.2792)  2 Ir 2.49, 2 P 2.75
P (0.0000, 0.5000, 0.7208)  2 Ir 2.49, 2 P 2.75
P (0.5000, 0.0000, 0.2792)  2 Ir 2.49, 2 P 2.75
P (0.5000, 0.0000, 0.7208)  2 Ir 2.49, 2 P 2.75
Ir (0.0000, 0.0000, 0.5000)  4 P 2.49, 2 Ir 2.75
Ir (0.5000, 0.5000, 0.5000)  4 P 2.49, 2 Ir 2.75

Calculated values
formation energy	35	kJ/mol of atoms
energy	-5.274	eV/atom
excess energy over the best structure of this formula in the dataset	406.5	meV per atom
symmetry	Cmmm, No. 65